Entry 1:
Compound: Th3Al2Au6
Source: the Alexandria database
Functional: PBE
Structure: relaxed

The structure in POSCAR format:
```
Th3Al2Au6
1.0
-2.108 2.108 14.556
2.108 -2.108 14.556
2.108 2.108 -14.556
Th Al Au
3 2 6
direct
0.000 0.000 0.000
0.175 0.175 0.000
0.825 0.825 0.000
0.371 0.371 0.000
0.629 0.629 0.000
0.079 0.579 0.500
0.280 0.280 0.000
0.421 0.921 0.500
0.579 0.079 0.500
0.720 0.720 0.000
0.921 0.421 0.500
```

Computed properties:
Crystal system: tetragonal
Symmetry: I4/mmm (139)



Entry 2:
Compound: Cd6Ga2Pb
Source: the Alexandria database
Functional: PBE
Structure: relaxed

The structure in POSCAR format:
```
Cd6Ga2Pb
1.0
8.026 -4.269 0.000
8.026 4.269 0.000
-0.657 0.000 3.199
Cd Ga Pb
6 2 1
direct
0.137 0.521 0.328
0.169 0.831 0.000
0.479 0.863 0.672
0.521 0.137 0.328
0.831 0.169 0.000
0.863 0.479 0.672
0.169 0.169 0.165
0.831 0.831 0.835
0.500 0.500 0.500
```

Computed properties:
Crystal system: monoclinic
Symmetry: C2/m (12)



Entry 3:
Compound: TaRuPb2
Source: the Alexandria database
Functional: PBE
Structure: relaxed

The structure in POSCAR format:
```
TaRuPb2
1.0
1.613 0.931 9.101
-1.613 0.931 9.101
0.000 -1.862 9.101
Ta Ru Pb
1 1 2
direct
0.000 0.000 0.000
0.500 0.500 0.500
0.244 0.244 0.244
0.756 0.756 0.756
```

Computed properties:
Crystal system: trigonal
Symmetry: R-3m (166)



Entry 4:
Compound: Tl3SnHg4
Source: the Alexandria database
Functional: PBE
Structure: relaxed

The structure in POSCAR format:
```
Tl3SnHg4
1.0
-3.145 5.411 3.444
3.145 -5.411 3.444
3.145 5.411 -3.444
Tl Sn Hg
3 1 4
direct
0.000 0.000 0.000
0.038 0.754 0.284
0.470 0.754 0.716
0.929 0.429 0.500
0.015 0.256 0.759
0.498 0.256 0.241
0.516 0.274 0.759
0.516 0.757 0.241
```

Computed properties:
Crystal system: orthorhombic
Symmetry: Imm2 (44)



Entry 5:
Compound: TbPmSm2Er5
Source: the Alexandria database
Functional: PBE
Structure: relaxed

The structure in POSCAR format:
```
TbPmSm2Er5
1.0
-4.349 4.349 7.641
4.349 -4.349 7.641
4.349 4.349 -7.641
Tb Pm Sm Er
2 2 4 10
direct
0.250 0.750 0.500
0.750 0.250 0.500
0.250 0.250 0.000
0.750 0.750 0.000
0.116 0.616 0.732
0.384 0.116 0.500
0.616 0.884 0.500
0.884 0.384 0.268
0.000 0.000 0.000
0.072 0.154 0.500
0.154 0.654 0.082
0.346 0.428 0.500
0.428 0.928 0.082
0.500 0.500 0.000
0.572 0.072 0.918
0.654 0.572 0.500
0.846 0.346 0.918
0.928 0.846 0.500
```

Computed properties:
Crystal system: tetragonal
Symmetry: I4/mcm (140)



Entry 6:
Compound: TlB
Source: the Alexandria database
Functional: PBE
Structure: relaxed

The structure in POSCAR format:
```
TlB
1.0
6.297 0.000 0.000
0.000 6.316 0.000
0.000 0.000 8.830
Tl B
8 8
direct
0.134 0.150 0.119
0.140 0.387 0.775
0.360 0.613 0.275
0.366 0.850 0.619
0.634 0.350 0.881
0.640 0.113 0.225
0.860 0.887 0.725
0.866 0.650 0.381
0.125 0.247 0.490
0.125 0.749 0.997
0.375 0.251 0.497
0.375 0.753 0.990
0.625 0.253 0.510
0.625 0.751 0.003
0.875 0.249 0.503
0.875 0.747 0.010
```

Computed properties:
Crystal system: orthorhombic
Symmetry: P2_12_12_1 (19)



| no. | energy relative to the elements (eV per atom) | total magnetization (μB/atom) |
| --- | --- | --- |
| 1 | -0.457 | 0.0000 |
| 2 | 0.072 | 0.0000 |
| 3 | 0.657 | 0.0000 |
| 4 | 0.039 | 0.0000 |
| 5 | 0.270 | 0.0000 |
| 6 | 0.495 | 0.0000 |